Entry from the Alexandria database: a geometry-optimized CeDyN structure (PBE-GGA).

Values from the calculation:
* offset from the most stable computed form: 611 meV per atom
* calculated total energy: -6.624 eV per atom
* E_form (uncorrected): -0.336 eV/atom

a b c (Å): 6.052 6.052 6.052
angles (deg): 90.00 90.00 90.00
Space group F-43m (No. 216)
Inequivalent atoms, fractional coordinates:
1 Ce 0.000 0.000 0.000 [4 per cell]
2 Dy 0.000 0.000 0.500 [4 per cell]
3 N 0.250 0.250 0.250 [4 per cell]



Entry from the Alexandria database: a geometry-optimized Ce2DyN4 structure (PBE-GGA).

Values from the calculation:
* calculated total energy: -8.289 eV per atom
* E_form (uncorrected): -1.179 eV/atom

a b c (Å): 7.520 7.520 6.939
angles (deg): 90.00 90.00 90.00
Space group I-42d (No. 122)
Inequivalent atoms, fractional coordinates:
1 Ce 0.141 0.750 0.125 [8 per cell]
2 Dy 0.000 0.000 0.500 [4 per cell]
3 N 0.070 0.690 0.440 [16 per cell]



Entry from the Alexandria database: a geometry-optimized Ce2DyN structure (PBE-GGA).

Values from the calculation:
* offset from the most stable computed form: 324 meV per atom
* calculated total energy: -6.486 eV per atom
* E_form (uncorrected): -0.288 eV/atom

a b c (Å): 3.129 3.129 8.904
angles (deg): 90.00 90.00 90.00
Space group P4/mmm (No. 123)
Inequivalent atoms, fractional coordinates:
1 Ce 0.000 0.000 0.160 [2 per cell]
2 Dy 0.500 0.500 0.500 [1 per cell]
3 N 0.500 0.500 0.000 [1 per cell]



Entry from the Alexandria database: a geometry-optimized Ce3Dy2N4 structure (PBE-GGA).

Values from the calculation:
* calculated total energy: -8.063 eV per atom
* E_form (uncorrected): -1.362 eV/atom

a b c (Å): 11.885 3.535 8.802
angles (deg): 90.00 120.75 90.00
Space group C2/m (No. 12)
Inequivalent atoms, fractional coordinates:
1 Ce 0.000 0.000 0.000 [2 per cell]
2 Ce 0.204 0.000 0.807 [4 per cell]
3 Dy 0.108 0.500 0.389 [4 per cell]
4 N 0.100 0.500 0.898 [4 per cell]
5 N 0.202 0.000 0.310 [4 per cell]



Entry from the Alexandria database: a geometry-optimized CeDyN2 structure (PBE-GGA).

Values from the calculation:
* calculated total energy: -8.033 eV per atom
* E_form (uncorrected): -1.237 eV/atom

a b c (Å): 3.4647 3.4647 6.0601
angles (deg): 90.00 90.00 120.00
Space group P-3m1 (No. 164)
Inequivalent atoms, fractional coordinates:
1 Ce 0.0000 0.0000 0.0000 [1 per cell]
2 Dy 0.0000 0.0000 0.5000 [1 per cell]
3 N 0.3333 0.6667 0.7460 [2 per cell]



Entry from the Alexandria database: a geometry-optimized CeDyN2 structure (PBE-GGA).

Values from the calculation:
* calculated total energy: -8.185 eV per atom
* E_form (uncorrected): -1.388 eV/atom

a b c (Å): 3.4428 3.4428 18.0729
angles (deg): 90.00 90.00 120.00
Space group R3m (No. 160, hexagonal axes)
Inequivalent atoms, fractional coordinates:
1 Ce 0.0000 0.0000 0.0000 [3 per cell]
2 Dy 0.0000 0.0000 0.1718 [3 per cell]
3 N 0.0000 0.0000 0.5798 [3 per cell]
4 N 0.0000 0.0000 0.7520 [3 per cell]